Density functional theory data (PBEsol) for an optimized crystal structure of Mg2SbSe.

Geometry as CIF:
```
data_Mg2SbSe
_space_group_name_H-M_alt 'P 1'
_space_group_IT_number 1
_space_group_name_Hall 'P 1'
_cell_length_a 3.823
_cell_length_b 3.820
_cell_length_c 7.487
_cell_angle_alpha 104.86
_cell_angle_beta 90.00
_cell_angle_gamma 120.03
loop_
_atom_site_label
_atom_site_type_symbol
_atom_site_fract_x
_atom_site_fract_y
_atom_site_fract_z
Sb1 Sb 0.000 0.000 0.500
Mg1 Mg 0.759 0.519 0.779
Mg2 Mg 0.241 0.481 0.221
Se1 Se 0.500 0.000 0.000
```

Computed properties:
**E above lowest polymorph**: 0.0 meV/atom
**Formation energy (no corrections)**: -69.62 kJ per mole of atoms
**M_tot**: 0.00 Bohr magnetons per cell
**Symmetry**: C2/m

=====

Density functional theory data (PBEsol) for an optimized crystal structure of TiGaF2.

Geometry as CIF:
```
data_TiGaF2
_space_group_name_H-M_alt 'P 1'
_space_group_IT_number 1
_space_group_name_Hall 'P 1'
_cell_length_a 2.926
_cell_length_b 2.926
_cell_length_c 8.285
_cell_angle_alpha 79.83
_cell_angle_beta 79.83
_cell_angle_gamma 60.00
loop_
_atom_site_label
_atom_site_type_symbol
_atom_site_fract_x
_atom_site_fract_y
_atom_site_fract_z
F1 F 0.924 0.924 0.227
F2 F 0.076 0.076 0.773
Ga1 Ga 0.500 0.500 0.500
Ti1 Ti 0.000 0.000 0.000
```

Computed properties:
**Formation energy (no corrections)**: -164.78 kJ per mole of atoms
**M_tot**: 0.11 Bohr magnetons per cell
**Symmetry**: R-3m

=====

Density functional theory data (PBEsol) for an optimized crystal structure of LiZnRe2.

Geometry as CIF:
```
data_LiZnRe2
_space_group_name_H-M_alt 'P 1'
_space_group_IT_number 1
_space_group_name_Hall 'P 1'
_cell_length_a 2.563
_cell_length_b 4.979
_cell_length_c 4.979
_cell_angle_alpha 118.80
_cell_angle_beta 90.00
_cell_angle_gamma 90.00
loop_
_atom_site_label
_atom_site_type_symbol
_atom_site_fract_x
_atom_site_fract_y
_atom_site_fract_z
Li1 Li 0.500 0.500 0.500
Re1 Re 0.000 0.500 0.000
Re2 Re 0.000 0.000 0.500
Zn1 Zn 0.500 0.000 0.000
```

Computed properties:
**M_tot**: 0.00 Bohr magnetons per cell
**DFT total energy**: -7.174 eV per atom
**Symmetry**: Cmmm

=====

Density functional theory data (PBEsol) for an optimized crystal structure of CdPb2W.

Geometry as CIF:
```
data_CdPb2W
_space_group_name_H-M_alt 'P 1'
_space_group_IT_number 1
_space_group_name_Hall 'P 1'
_cell_length_a 5.041
_cell_length_b 5.041
_cell_length_c 5.041
_cell_angle_alpha 60.00
_cell_angle_beta 60.00
_cell_angle_gamma 60.00
loop_
_atom_site_label
_atom_site_type_symbol
_atom_site_fract_x
_atom_site_fract_y
_atom_site_fract_z
Cd1 Cd 0.500 0.500 0.500
Pb1 Pb 0.000 0.000 0.000
Pb2 Pb 0.250 0.250 0.250
W1 W 0.750 0.750 0.750
```

Computed properties:
**M_tot**: 0.00 Bohr magnetons per cell
**DFT total energy**: -4.631 eV per atom
**Symmetry**: F-43m

=====

Density functional theory data (PBEsol) for an optimized crystal structure of FeP2Br.

Geometry as CIF:
```
data_FeP2Br
_space_group_name_H-M_alt 'P 1'
_space_group_IT_number 1
_space_group_name_Hall 'P 1'
_cell_length_a 2.682
_cell_length_b 2.682
_cell_length_c 9.803
_cell_angle_alpha 90.00
_cell_angle_beta 90.00
_cell_angle_gamma 90.00
loop_
_atom_site_label
_atom_site_type_symbol
_atom_site_fract_x
_atom_site_fract_y
_atom_site_fract_z
Br1 Br 0.500 0.500 0.000
Fe1 Fe 0.500 0.500 0.500
P1 P 0.000 0.000 0.646
P2 P 0.000 0.000 0.354
```

Computed properties:
**E above lowest polymorph**: 0.0 meV/atom
**Formation energy (no corrections)**: 0.67 kJ per mole of atoms
**M_tot**: 0.29 Bohr magnetons per cell
**Symmetry**: P4/mmm

=====

Density functional theory data (PBEsol) for an optimized crystal structure of CoBC2.

Geometry as CIF:
```
data_CoBC2
_space_group_name_H-M_alt 'P 1'
_space_group_IT_number 1
_space_group_name_Hall 'P 1'
_cell_length_a 4.021
_cell_length_b 4.021
_cell_length_c 4.904
_cell_angle_alpha 114.20
_cell_angle_beta 114.20
_cell_angle_gamma 90.00
loop_
_atom_site_label
_atom_site_type_symbol
_atom_site_fract_x
_atom_site_fract_y
_atom_site_fract_z
C1 C 0.416 0.875 0.250
C2 C 0.834 0.375 0.250
C3 C 0.125 0.166 0.750
C4 C 0.625 0.584 0.750
B1 B 0.750 0.250 0.500
B2 B 0.500 0.500 0.000
Co1 Co 0.250 0.750 0.500
Co2 Co 0.000 0.000 0.000
```

Computed properties:
**M_tot**: 0.00 Bohr magnetons per cell
**DFT total energy**: -7.903 eV per atom
**Symmetry**: I-42d

=====

Density functional theory data (PBEsol) for an optimized crystal structure of ScInP2.

Geometry as CIF:
```
data_ScInP2
_space_group_name_H-M_alt 'P 1'
_space_group_IT_number 1
_space_group_name_Hall 'P 1'
_cell_length_a 3.492
_cell_length_b 4.467
_cell_length_c 4.482
_cell_angle_alpha 90.00
_cell_angle_beta 90.00
_cell_angle_gamma 90.00
loop_
_atom_site_label
_atom_site_type_symbol
_atom_site_fract_x
_atom_site_fract_y
_atom_site_fract_z
In1 In 0.500 0.000 0.500
P1 P 0.000 0.000 0.000
P2 P 0.000 0.500 0.500
Sc1 Sc 0.500 0.500 0.000
```

Computed properties:
**M_tot**: 0.00 Bohr magnetons per cell
**DFT total energy**: -5.731 eV per atom
**Symmetry**: Pmmm

=====

Density functional theory data (PBEsol) for an optimized crystal structure of Al3C.

Geometry as CIF:
```
data_Al3C
_space_group_name_H-M_alt 'P 1'
_space_group_IT_number 1
_space_group_name_Hall 'P 1'
_cell_length_a 4.019
_cell_length_b 4.019
_cell_length_c 4.019
_cell_angle_alpha 90.00
_cell_angle_beta 90.00
_cell_angle_gamma 90.00
loop_
_atom_site_label
_atom_site_type_symbol
_atom_site_fract_x
_atom_site_fract_y
_atom_site_fract_z
C1 C 0.000 0.000 0.000
Al1 Al 0.500 0.000 0.000
Al2 Al 0.000 0.500 0.000
Al3 Al 0.000 0.000 0.500
```

Computed properties:
**E above lowest polymorph**: 697.7 meV/atom
**M_tot**: 0.00 Bohr magnetons per cell
**Symmetry**: Pm-3m

=====

Density functional theory data (PBEsol) for an optimized crystal structure of Rh3Se8.

Geometry as CIF:
```
data_Rh3Se8
_space_group_name_H-M_alt 'P 1'
_space_group_IT_number 1
_space_group_name_Hall 'P 1'
_cell_length_a 5.936
_cell_length_b 5.936
_cell_length_c 5.936
_cell_angle_alpha 90.86
_cell_angle_beta 90.86
_cell_angle_gamma 90.86
loop_
_atom_site_label
_atom_site_type_symbol
_atom_site_fract_x
_atom_site_fract_y
_atom_site_fract_z
Rh1 Rh 0.500 0.500 0.000
Rh2 Rh 0.000 0.500 0.500
Rh3 Rh 0.500 0.000 0.500
Se1 Se 0.880 0.113 0.378
Se2 Se 0.378 0.880 0.113
Se3 Se 0.113 0.378 0.880
Se4 Se 0.120 0.887 0.622
Se5 Se 0.622 0.120 0.887
Se6 Se 0.887 0.622 0.120
Se7 Se 0.623 0.623 0.623
Se8 Se 0.377 0.377 0.377
```

Computed properties:
**E above lowest polymorph**: 0.0 meV/atom
**Formation energy (no corrections)**: -42.15 kJ per mole of atoms
**M_tot**: 0.00 Bohr magnetons per cell
**Symmetry**: R-3

=====

Density functional theory data (PBEsol) for an optimized crystal structure of Cu2TcSnP.

Geometry as CIF:
```
data_Cu2TcSnP
_space_group_name_H-M_alt 'P 1'
_space_group_IT_number 1
_space_group_name_Hall 'P 1'
_cell_length_a 4.385
_cell_length_b 4.703
_cell_length_c 4.703
_cell_angle_alpha 90.00
_cell_angle_beta 90.00
_cell_angle_gamma 90.00
loop_
_atom_site_label
_atom_site_type_symbol
_atom_site_fract_x
_atom_site_fract_y
_atom_site_fract_z
P1 P 0.500 0.000 0.000
Sn1 Sn 0.500 0.500 0.500
Cu1 Cu 0.000 0.000 0.500
Cu2 Cu 0.000 0.500 0.000
Tc1 Tc 0.000 0.000 0.000
```

Computed properties:
**M_tot**: 0.00 Bohr magnetons per cell
**DFT total energy**: -5.315 eV per atom
**Symmetry**: P4/mmm

=====

Density functional theory data (PBEsol) for an optimized crystal structure of CoRh2W.

Geometry as CIF:
```
data_CoRh2W
_space_group_name_H-M_alt 'P 1'
_space_group_IT_number 1
_space_group_name_Hall 'P 1'
_cell_length_a 3.765
_cell_length_b 3.765
_cell_length_c 4.572
_cell_angle_alpha 114.31
_cell_angle_beta 114.31
_cell_angle_gamma 90.00
loop_
_atom_site_label
_atom_site_type_symbol
_atom_site_fract_x
_atom_site_fract_y
_atom_site_fract_z
Rh1 Rh 0.750 0.250 0.500
Rh2 Rh 0.250 0.750 0.500
Co1 Co 0.500 0.500 0.000
W1 W 0.000 0.000 0.000
```

Computed properties:
**E above lowest polymorph**: 2.9 meV/atom
**M_tot**: 1.48 Bohr magnetons per cell
**Symmetry**: I4/mmm

=====

Density functional theory data (PBEsol) for an optimized crystal structure of LaZrRh2.

Geometry as CIF:
```
data_LaZrRh2
_space_group_name_H-M_alt 'P 1'
_space_group_IT_number 1
_space_group_name_Hall 'P 1'
_cell_length_a 3.293
_cell_length_b 3.294
_cell_length_c 7.159
_cell_angle_alpha 90.00
_cell_angle_beta 89.97
_cell_angle_gamma 90.00
loop_
_atom_site_label
_atom_site_type_symbol
_atom_site_fract_x
_atom_site_fract_y
_atom_site_fract_z
Rh1 Rh 0.000 0.000 0.793
Rh2 Rh 0.000 0.000 0.207
Zr1 Zr 0.500 0.500 0.000
La1 La 0.500 0.500 0.500
```

Computed properties:
**M_tot**: 0.00 Bohr magnetons per cell
**DFT total energy**: -8.350 eV per atom
**Symmetry**: P4/mmm